(1)
# LaPm2Dy5Th

Crystalline LaPm2Dy5Th at its relaxed geometry (PBE, Alexandria via LeMat-Bulk).

The crystal system is orthorhombic. For the formation energy, the calculation gives 0.16 eV/atom.

The structure belongs to space group Cmc2_1 (No. 36); the cell edges are 5.660, 20.013 and 10.594 Å and the angles 90.00°, 90.00° and 90.00°. The inequivalent atoms are La at (0.000, 0.085, 0.000), Pm at (0.000, 0.385, 0.281), Pm at (0.000, 0.387, 0.869), Dy at (0.000, 0.020, 0.287), Dy at (0.000, 0.113, 0.574), Dy at (0.000, 0.204, 0.259), Dy at (0.000, 0.223, 0.867), Dy at (0.000, 0.484, 0.576) and Th at (0.000, 0.297, 0.564).

=====

(2)
# Ac4LaPr15

Crystalline Ac4LaPr15 at its relaxed geometry (PBE, Alexandria via LeMat-Bulk).

The crystal system is tetragonal. For the formation energy, the calculation gives 0.10 eV/atom.

The structure belongs to space group P4/mmm (No. 123); the cell edges are 6.267, 6.267 and 19.310 Å and the angles 90.00°, 90.00° and 90.00°. The inequivalent atoms are Ac at (0.000, 0.000, 0.102), Ac at (0.000, 0.000, 0.304), La at (0.000, 0.000, 0.500), Pr at (0.000, 0.500, 0.000), Pr at (0.000, 0.500, 0.201), Pr at (0.000, 0.500, 0.403), Pr at (0.500, 0.500, 0.099), Pr at (0.500, 0.500, 0.298) and Pr at (0.500, 0.500, 0.500).

=====

(3)
# ErLuI

Crystalline ErLuI at its relaxed geometry (PBE, Alexandria via LeMat-Bulk).

The calculation puts the formation energy from raw total energies at -0.39 eV per formula unit. The crystal system is trigonal.

The structure belongs to space group P3m1 (No. 156); the cell edges are 5.3630, 5.3630 and 3.7004 Å and the angles 90.00°, 90.00° and 120.00°. The inequivalent atoms are Er at (0.0000, 0.0000, 0.0000), Lu at (0.3333, 0.6667, 0.4802) and I at (0.6667, 0.3333, 0.2374).

=====

(4)
# Ta2CoAs

Crystalline Ta2CoAs at its relaxed geometry (PBE, Alexandria via LeMat-Bulk).

The crystal system is orthorhombic. For the formation energy, the calculation gives -0.07 eV/atom.

The structure belongs to space group Cmmm (No. 65); the cell edges are 3.663, 4.563 and 7.476 Å and the angles 90.00°, 90.00° and 90.00°. The inequivalent atoms are Ta at (0.000, 0.000, 0.236), Co at (0.000, 0.500, 0.000) and As at (0.000, 0.500, 0.500).